1.
A plane-wave DFT calculation with GGA-PBE was carried out for CsSn3Pb3 after structural relaxation.

The space group is P6_3/m (No. 176) and the conventional cell measures 9.5303, 9.5303 and 5.8805 Å, with angles of 90.00, 90.00 and 120.00 degrees. The inequivalent atoms are Cs at (0.3333, 0.6667, 0.2500), Sn at (0.0345, 0.8196, 0.2500) and Pb at (0.0909, 0.6478, 0.7500).

The formation energy is 0.09 eV/atom. The excess energy over the best structure of this formula in the dataset is 53.9 meV per atom. Its magnetic moment is 0.00 μB per cell.

2.
A plane-wave DFT calculation with GGA-PBE was carried out for Ca2MnSiI after structural relaxation.

The space group is P4/mmm (No. 123) and the conventional cell measures 5.8123, 5.8123 and 4.6200 Å, with angles of 90.00, 90.00 and 90.00 degrees. The inequivalent atoms are Ca at (0.0000, 0.5000, 0.0000), Mn at (0.0000, 0.0000, 0.5000), Si at (0.0000, 0.0000, 0.0000) and I at (0.5000, 0.5000, 0.5000).

For the formation energy (no corrections), the calculation gives -0.28 eV/atom. Its magnetic moment is 3.95 μB per cell.

3.
A plane-wave DFT calculation with GGA-PBE was carried out for RbNaZnCd after structural relaxation.

The space group is F-43m (No. 216) and the conventional cell measures 8.2423, 8.2423 and 8.2423 Å, with angles of 90.00, 90.00 and 90.00 degrees. The inequivalent atoms are Rb at (0.0000, 0.0000, 0.0000), Na at (0.0000, 0.0000, 0.5000), Zn at (0.2500, 0.2500, 0.7500) and Cd at (0.2500, 0.2500, 0.2500).

The formation energy is 0.13 eV/atom. Its magnetic moment is 0.00 μB per cell.

4.
A plane-wave DFT calculation with GGA-PBE was carried out for Li4Er3TmS8 after structural relaxation.

The space group is R-3m (No. 166, hexagonal axes) and the conventional cell measures 7.7452, 7.7452 and 18.4970 Å, with angles of 90.00, 90.00 and 120.00 degrees. The inequivalent atoms are Li at (0.0000, 0.0000, 0.0000), Li at (0.0000, 0.5000, 0.0000), Er at (0.0000, 0.5000, 0.5000), Tm at (0.0000, 0.0000, 0.5000), S at (0.0000, 0.0000, 0.2496) and S at (0.0011, 0.5006, 0.2495).

For the formation energy (no corrections), the calculation gives -1.86 eV/atom. Its magnetic moment is 0.00 μB per cell.

5.
A plane-wave DFT calculation with GGA-PBE was carried out for BaSi2Te after structural relaxation.

The space group is P2/m (No. 10) and the conventional cell measures 4.1174, 5.2162 and 5.6428 Å, with angles of 90.00, 90.63 and 90.00 degrees. The inequivalent atoms are Ba at (0.0000, 0.0000, 0.0000), Si at (0.2482, 0.5000, 0.6254) and Te at (0.5000, 0.0000, 0.5000).

For the formation energy (no corrections), the calculation gives -0.21 eV/atom. Its magnetic moment is 0.00 μB per cell.

6.
A plane-wave DFT calculation with GGA-PBE was carried out for Cs3TbCe2S6 after structural relaxation.

The space group is C2/m (No. 12) and the conventional cell measures 7.3207, 12.6796 and 8.4200 Å, with angles of 90.00, 106.85 and 90.00 degrees. The inequivalent atoms are Cs at (0.0000, 0.0000, 0.0000), Cs at (0.0000, 0.3330, 0.0000), Tb at (0.0000, 0.5000, 0.5000), Ce at (0.0000, 0.1666, 0.5000), S at (0.2245, 0.3368, 0.6838) and S at (0.2349, 0.0000, 0.6840).

For the formation energy (no corrections), the calculation gives -1.77 eV/atom. Its magnetic moment is 4.02 μB per cell.

7.
A plane-wave DFT calculation with GGA-PBE was carried out for CaDy2Al after structural relaxation.

The space group is R-3m (No. 166, hexagonal axes) and the conventional cell measures 3.5634, 3.5634 and 34.2707 Å, with angles of 90.00, 90.00 and 120.00 degrees. The inequivalent atoms are Ca at (0.0000, 0.0000, 0.0000), Dy at (0.0000, 0.0000, 0.1017) and Al at (0.0000, 0.0000, 0.5000).

The formation energy is 0.08 eV/atom. The excess energy over the best structure of this formula in the dataset is 224.9 meV per atom. Its magnetic moment is 0.00 μB per cell.

8.
A plane-wave DFT calculation with GGA-PBE was carried out for TaRh2Au after structural relaxation.

The space group is P2/m (No. 10) and the conventional cell measures 4.7974, 2.8811 and 4.9335 Å, with angles of 90.00, 111.21 and 90.00 degrees. The inequivalent atoms are Ta at (0.0000, 0.0000, 0.0000), Rh at (0.5000, 0.0000, 0.5000), Rh at (0.5000, 0.5000, 0.0000) and Au at (0.0000, 0.5000, 0.5000).

The formation energy is -0.17 eV/atom. Its magnetic moment is 0.00 μB per cell.

9.
A plane-wave DFT calculation with GGA-PBE was carried out for La2TmZr after structural relaxation.

The space group is R3m (No. 160, hexagonal axes) and the conventional cell measures 3.5166, 3.5166 and 34.3332 Å, with angles of 90.00, 90.00 and 120.00 degrees. The inequivalent atoms are La at (0.0000, 0.0000, 0.0000), La at (0.0000, 0.0000, 0.1741), Tm at (0.0000, 0.0000, 0.4188) and Zr at (0.0000, 0.0000, 0.5881).

The formation energy is 0.14 eV/atom. The excess energy over the best structure of this formula in the dataset is 14.8 meV per atom. Its magnetic moment is 0.00 μB per cell.

10.
A plane-wave DFT calculation with GGA-PBE was carried out for LiMgHg4 after structural relaxation.

The space group is C2/m (No. 12) and the conventional cell measures 11.9900, 3.3778 and 6.7024 Å, with angles of 90.00, 106.19 and 90.00 degrees. The inequivalent atoms are Li at (0.0000, 0.0000, 0.0000), Mg at (0.0000, 0.0000, 0.5000), Hg at (0.1513, 0.5000, 0.8364) and Hg at (0.1555, 0.5000, 0.3199).

The formation energy is -0.19 eV/atom. The excess energy over the best structure of this formula in the dataset is 0.0 meV per atom. Its magnetic moment is 0.00 μB per cell.

11.
A plane-wave DFT calculation with GGA-PBE was carried out for Sc2CrPt2 after structural relaxation.

The space group is I4/mmm (No. 139) and the conventional cell measures 4.2521, 4.2521 and 11.2578 Å, with angles of 90.00, 90.00 and 90.00 degrees. The inequivalent atoms are Sc at (0.0000, 0.5000, 0.2500), Cr at (0.0000, 0.0000, 0.0000) and Pt at (0.0000, 0.0000, 0.3876).

The formation energy is -0.03 eV/atom. The excess energy over the best structure of this formula in the dataset is 560.8 meV per atom. Its magnetic moment is 0.22 μB per cell.

12.
A plane-wave DFT calculation with GGA-PBE was carried out for TbSm5Ho2In after structural relaxation.

The space group is Cmc2_1 (No. 36) and the conventional cell measures 5.4482, 20.1644 and 10.7074 Å, with angles of 90.00, 90.00 and 90.00 degrees. The inequivalent atoms are Tb at (0.0000, 0.2030, 0.0000), Sm at (0.0000, 0.0135, 0.0000), Sm at (0.0000, 0.2891, 0.2997), Sm at (0.0000, 0.2897, 0.7002), Sm at (0.0000, 0.3811, 0.9999), Sm at (0.0000, 0.5002, 0.2495), Ho at (0.0000, 0.1153, 0.2922), Ho at (0.0000, 0.1156, 0.7078) and In at (0.0000, 0.4045, 0.4989).

The formation energy is 0.00 eV/atom. Its magnetic moment is 0.00 μB per cell.

13.
A plane-wave DFT calculation with GGA-PBE was carried out for ScBeOF2 after structural relaxation.

The space group is P4/mmm (No. 123) and the conventional cell measures 3.8875, 3.8875 and 3.1201 Å, with angles of 90.00, 90.00 and 90.00 degrees. The inequivalent atoms are Sc at (0.0000, 0.0000, 0.0000), Be at (0.5000, 0.5000, 0.5000), O at (0.5000, 0.5000, 0.0000) and F at (0.0000, 0.5000, 0.5000).

For the formation energy (no corrections), the calculation gives -2.55 eV/atom. The excess energy over the best structure of this formula in the dataset is 0.0 meV per atom. Its magnetic moment is 0.00 μB per cell.